Density functional theory data (PBE-GGA) for BeAlRu after structural relaxation.

Cell lengths 3.8099, 3.8099, 3.8099 Å; angles 60.00, 60.00, 60.00 degrees
Last column: nearest neighbours and their distance in Å.
Sites, in units of the cell vectors:
Ru 0.0000 0.0000 0.0000  4 Be 2.33
Al 0.5000 0.5000 0.5000  4 Be 2.33
Be 0.7500 0.7500 0.7500  4 Ru 2.33, 4 Al 2.33

Summary:
DFT total energy	-17.3	eV/cell
formation energy from the elements	-0.179	eV/atom
energy above the most stable polymorph in this dataset	288	meV per atom